{
  "formula": "KCr4Co",
  "functional": "GGA-PBE",
  "state": "relaxed",
  "e_form_ev_per_atom": 1.258,
  "dft_energy_ev_per_atom": -6.524,
  "spacegroup": "F-43m",
  "dos_at_fermi_per_ev_atom": 1.27,
  "magnetic_moment_mub_per_cell": 0.8,
  "lattice": [[0.0000, 3.5047, 3.5047], [3.5047, 0.0000, 3.5047], [3.5047, 3.5047, 0.0000]],
  "species": ["Cr", "Cr", "Cr", "Cr", "Co", "K"],
  "fractional_positions": [[0.3749, 0.3749, 0.8754], [0.8754, 0.3749, 0.3749], [0.3749, 0.8754, 0.3749], [0.3749, 0.3749, 0.3749], [0.0000, 0.0000, 0.0000], [0.7500, 0.7500, 0.7500]]
}


{
  "formula": "K4CuSe",
  "functional": "GGA-PBE",
  "state": "relaxed",
  "dft_energy_ev_per_atom": -1.748,
  "spacegroup": "F-43m",
  "dos_at_fermi_per_ev_atom": 0.25,
  "magnetic_moment_mub_per_cell": 0.9,
  "e_form_raw_mev_per_atom": 247,
  "lattice": [[-6.7741, -0.6746, 0.6535], [-4.1723, 4.8052, -2.5046], [-3.8488, -1.3380, -5.4925]],
  "species": ["K", "K", "K", "K", "Se", "Cu"],
  "fractional_positions": [[0.3764, 0.8709, 0.3764], [0.3764, 0.3764, 0.8709], [0.3764, 0.3764, 0.3764], [0.8709, 0.3764, 0.3764], [0.7500, 0.7500, 0.7500], [0.0000, 0.0000, 0.0000]]
}